This record from the Alexandria database describes a relaxed structure of K3Sr2PdO6. The functional is PBE.

Calculated values
- energy (eV/atom) = -4.9911
- volume (Å³/f.u.) = 201

Structure (CIF):
```
data_K3Sr2PdO6
_chemical_formula_sum 'K6 Sr4 Pd2 O12'
_cell_length_a 6.1301
_cell_length_b 10.6211
_cell_length_c 6.5088
_cell_angle_alpha 90.00
_cell_angle_beta 108.40
_cell_angle_gamma 90.00
_symmetry_space_group_name_H-M 'C 1 2/m 1'
_symmetry_Int_Tables_number 12
loop_
_symmetry_equiv_pos_as_xyz
'x,y,z'
'-x,-y,-z'
'-x,y,-z'
'x,-y,z'
'x+1/2,y+1/2,z'
'-x+1/2,-y+1/2,-z'
'-x+1/2,y+1/2,-z'
'x+1/2,-y+1/2,z'
loop_
_atom_site_label
_atom_site_type_symbol
_atom_site_fract_x
_atom_site_fract_y
_atom_site_fract_z
K1 K 0.0000 0.0000 0.0000
K2 K 0.0000 0.3393 0.0000
Sr1 Sr 0.0000 0.1671 0.5000
Pd1 Pd 0.0000 0.5000 0.5000
O1 O 0.2050 0.3593 0.6929
O2 O 0.2186 0.5000 0.3102
```